1.
# Rb2TaCuF6, optimized geometry, DFT PBE
# raw total energy	-0.1866	Ha/atom
data_Rb2TaCuF6
_cell_length_a 5.6304
_cell_length_b 5.6304
_cell_length_c 15.9327
_cell_angle_alpha 90.00
_cell_angle_beta 90.00
_cell_angle_gamma 120.00
_symmetry_space_group_name_H-M 'R -3 m'
_symmetry_Int_Tables_number 166
_symmetry_space_group_name_Hall '-R 3 2"'
loop_
_atom_site_label
_atom_site_type_symbol
_atom_site_fract_x
_atom_site_fract_y
_atom_site_fract_z
Rb1 Rb 0.0000 0.0000 0.2417
Ta1 Ta 0.0000 0.0000 0.0000
Cu1 Cu 0.0000 0.0000 0.5000
F1 F 0.0051 0.5026 0.7486

2.
# Rb2CuTcF6, optimized geometry, DFT PBE
# raw total energy	-0.1741	Ha/atom
data_Rb2CuTcF6
_cell_length_a 5.8994
_cell_length_b 5.8994
_cell_length_c 29.1048
_cell_angle_alpha 90.00
_cell_angle_beta 90.00
_cell_angle_gamma 120.00
_symmetry_space_group_name_H-M 'R -3 m'
_symmetry_Int_Tables_number 166
_symmetry_space_group_name_Hall '-R 3 2"'
loop_
_atom_site_label
_atom_site_type_symbol
_atom_site_fract_x
_atom_site_fract_y
_atom_site_fract_z
Rb1 Rb 0.0000 0.0000 0.1273
Rb2 Rb 0.0000 0.0000 0.2844
Cu1 Cu 0.0000 0.0000 0.4113
Tc1 Tc 0.0000 0.0000 0.0000
Tc2 Tc 0.0000 0.0000 0.5000
F1 F 0.0046 0.5023 0.8721
F2 F 0.0078 0.5039 0.7070

3.
# Rb2CuTcF6, optimized geometry, DFT PBE
# raw total energy	-0.1738	Ha/atom
data_Rb2CuTcF6
_cell_length_a 5.8263
_cell_length_b 5.8263
_cell_length_c 14.3798
_cell_angle_alpha 90.00
_cell_angle_beta 90.00
_cell_angle_gamma 120.00
_symmetry_space_group_name_H-M 'R -3'
_symmetry_Int_Tables_number 148
_symmetry_space_group_name_Hall '-R 3'
loop_
_atom_site_label
_atom_site_type_symbol
_atom_site_fract_x
_atom_site_fract_y
_atom_site_fract_z
Rb1 Rb 0.0000 0.0000 0.2494
Cu1 Cu 0.0000 0.0000 0.0000
Tc1 Tc 0.0000 0.0000 0.5000
F1 F 0.0054 0.5165 0.2493

4.
# CuReF6, optimized geometry, DFT PBE
# raw total energy	-0.1897	Ha/atom
data_CuReF6
_cell_length_a 8.961
_cell_length_b 8.961
_cell_length_c 8.961
_cell_angle_alpha 90.00
_cell_angle_beta 90.00
_cell_angle_gamma 90.00
_symmetry_space_group_name_H-M 'I a -3'
_symmetry_Int_Tables_number 206
_symmetry_space_group_name_Hall '-I 2b 2c 3'
loop_
_atom_site_label
_atom_site_type_symbol
_atom_site_fract_x
_atom_site_fract_y
_atom_site_fract_z
Cu1 Cu 0.000 0.000 0.000
Re1 Re 0.250 0.250 0.250
F1 F 0.091 0.121 0.316

Which of these has the highest raw total energy? number 3